Density functional theory data (GGA+U) for an optimized crystal structure of VAsI2O.

It has space group P4/mmm (No. 123), with a = 5.9155 Å, b = 5.9155 Å, c = 3.8251 Å, α = 90.00°, β = 90.00° and γ = 90.00°. Symmetry generates all atoms from V at (0.0000, 0.0000, 0.0000), As at (0.5000, 0.5000, 0.5000), I at (0.0000, 0.5000, 0.5000) and O at (0.5000, 0.5000, 0.0000).

The total energy is -19.4 eV for the cell shown.